Entry from Alexandria via LeMat-Bulk: crystalline In2PRu at its relaxed geometry (GGA-PBE).

## Properties
Formation energy from the elements ... 10.1 kcal/mol of atoms
Theoretical density ... 7.93 g/cm³
Spin magnetization ... 0.0 μB/f.u.
Symmetry ... C2/m, No. 12

Lattice parameters (Å, degrees): 5.431 5.431 3.366 73.34 73.34 115.32
Fractional coordinates of all 4 atoms:
In 0.500 0.000 0.000
In 0.000 0.500 0.000
P 0.500 0.500 0.500
Ru 0.000 0.000 0.500